[1]
YMnOs2 | GGA-PBE | relaxed

Properties
- offset from the most stable computed form (meV/atom) = 106

Cell: 9.8626 3.0301 4.8605 Å, 90.00 106.87 90.00°
With the nearest neighbours (Å) after each atom.
Space group Cm (No. 8)
Symmetry-distinct sites (fractional):
Y 0.0000 0.0000 0.0000 [2 per cell]  6 Os 2.81-3.06, 3 Mn 2.88-3.08, 2 Y 3.03
Mn 0.2217 0.0000 0.7219 [2 per cell]  4 Os 2.51-2.71
Os 0.2640 0.5000 0.3441 [2 per cell]  2 Mn 2.51, 2 Os 2.62
Os 0.4904 0.0000 0.4801 [2 per cell]  2 Os 2.62, 2 Mn 2.71, 4 Y 2.81-2.92

***

[2]
FeOs | GGA-PBE | relaxed

Properties
- E (Ry per atom) = -0.6598

Cell: 3.7989 3.7989 4.5549 Å, 90.00 90.00 120.00°
With the nearest neighbours (Å) after each atom.
Space group P6_3/mmc (No. 194)
Symmetry-distinct sites (fractional):
Fe 0.0000 0.0000 0.0000 [2 per cell]  2 Fe 2.28, 6 Os 2.47
Os 0.3333 0.6667 0.2500 [2 per cell]  6 Fe 2.47

***

[3]
TbGdNiIr | GGA-PBE | relaxed

Properties
- E (Ry per atom) = -0.6568

Cell: 6.8658 6.8658 6.8658 Å, 90.00 90.00 90.00°
With the nearest neighbours (Å) after each atom.
Space group F-43m (No. 216)
Symmetry-distinct sites (fractional):
Tb 0.0000 0.0000 0.0000 [4 per cell]  4 Ir 2.97, 4 Ni 2.97
Gd 0.0000 0.0000 0.5000 [4 per cell]  4 Ni 2.97, 4 Ir 2.97
Ni 0.2500 0.2500 0.7500 [4 per cell]  4 Tb 2.97, 4 Gd 2.97
Ir 0.2500 0.2500 0.2500 [4 per cell]  4 Gd 2.97, 4 Tb 2.97

***

[4]
Al2As2Os | GGA-PBE | relaxed

Properties
- offset from the most stable computed form (meV/atom) = 0

Cell: 6.8597 6.8597 3.5558 Å, 90.00 90.00 90.00°
With the nearest neighbours (Å) after each atom.
Space group P4/mbm (No. 127)
Symmetry-distinct sites (fractional):
Al 0.1415 0.3585 0.0000 [4 per cell]  6 As 2.57-2.77, 1 Al 2.75
As 0.1670 0.6670 0.5000 [4 per cell]  2 Os 2.56, 6 Al 2.57-2.77
Os 0.0000 0.0000 0.5000 [2 per cell]  4 As 2.56

***

[5]
Dy2Zn15Ir2 | GGA-PBE | relaxed

Properties
- E (Ry per atom) = -0.1968

Cell: 8.9717 8.9717 13.0642 Å, 90.00 90.00 120.00°
With the nearest neighbours (Å) after each atom.
Space group R-3m (No. 166, hexagonal axes)
Symmetry-distinct sites (fractional):
Dy 0.0000 0.0000 0.1699 [6 per cell]  1 Ir 2.88
Zn 0.0000 0.2838 0.5000 [18 per cell]  8 Zn 2.55-2.76
Zn 0.0000 0.5000 0.0000 [9 per cell]  8 Zn 2.55-2.61, 2 Ir 2.70
Zn 0.0026 0.5013 0.6485 [18 per cell]  8 Zn 2.61-2.76, 1 Ir 2.79
Ir 0.0000 0.0000 0.3904 [6 per cell]  12 Zn 2.70-2.92, 1 Ir 2.86, 1 Dy 2.88

***

[6]
Er4PHC2 | GGA-PBE | relaxed

Properties
- E (Ry per atom) = -0.4733

Cell: 3.6847 11.9490 12.3805 Å, 90.00 90.00 90.00°
With the nearest neighbours (Å) after each atom.
Space group Cmcm (No. 63)
Symmetry-distinct sites (fractional):
Er 0.0000 0.0000 0.0000 [4 per cell]  4 C 2.55
Er 0.0000 0.2653 0.1093 [8 per cell]  1 H 2.19, 1 C 2.42
Er 0.0000 0.4388 0.7500 [4 per cell]  2 H 2.15
P 0.0000 0.1136 0.7500 [4 per cell]  6 Er 2.79-2.92
H 0.0000 0.1544 0.2500 [4 per cell]  4 Er 2.15-2.19
C 0.0000 0.3663 0.5605 [8 per cell]  6 Er 2.42-2.55

***

[7]
In9Ag2Hg4 | GGA-PBE | relaxed

Properties
- E (Ry per atom) = -0.1523

Cell: 7.4071 7.5214 14.7077 Å, 101.60 94.75 100.50°
With the nearest neighbours (Å) after each atom.
Space group P-1 (No. 2)
Symmetry-distinct sites (fractional):
In 0.0091 0.2266 0.0575 [2 per cell]  2 Ag 2.84-3.15, 3 Hg 3.00-3.17
In 0.0152 0.4080 0.3936 [2 per cell]  1 Ag 2.89, 2 In 2.97-3.20, 1 Hg 3.10
In 0.0222 0.6401 0.2520 [2 per cell]  2 Ag 2.89-2.98, 1 In 2.97, 2 Hg 3.01-3.09
In 0.2135 0.2252 0.5529 [2 per cell]  2 Ag 2.89-2.97, 2 Hg 3.15-3.21
In 0.3167 0.9715 0.7322 [2 per cell]  2 Ag 2.87-3.17, 1 Hg 3.18
In 0.3266 0.2333 0.2839 [2 per cell]  2 Ag 2.92-3.03, 2 Hg 2.97-3.10, 2 In 3.18-3.24
In 0.3402 0.2888 0.9301 [2 per cell]  1 Ag 2.95, 3 Hg 3.12-3.20, 2 In 3.23-3.30
In 0.3682 0.8991 0.4099 [2 per cell]  1 Ag 2.87, 2 Hg 2.98-3.04, 1 In 3.10
In 0.3793 0.0221 0.0805 [2 per cell]  1 Ag 2.99, 2 Hg 3.01-3.09, 3 In 3.08-3.30
Ag 0.0210 0.9439 0.1587 [2 per cell]  7 In 2.84-3.17, 1 Ag 2.94
Ag 0.0344 0.0205 0.3632 [2 per cell]  7 In 2.87-2.98, 1 Ag 2.94
Hg 0.2355 0.6091 0.0794 [2 per cell]  6 In 3.00-3.17, 1 Hg 3.17, 1 Ag 3.29
Hg 0.3091 0.6466 0.8480 [2 per cell]  5 In 3.01-3.24, 1 Hg 3.04
Hg 0.3764 0.6377 0.5427 [2 per cell]  5 In 3.04-3.28, 1 Hg 3.15
Hg 0.4840 0.6158 0.2663 [2 per cell]  4 In 2.97-3.21, 2 Hg 3.04-3.17

***

[8]
CaTa2Hg | GGA-PBE | relaxed

Properties
- E (Ry per atom) = -0.4359

Cell: 6.9362 6.9362 6.9362 Å, 90.00 90.00 90.00°
With the nearest neighbours (Å) after each atom.
Space group F-43m (No. 216)
Symmetry-distinct sites (fractional):
Ca 0.0000 0.0000 0.0000 [4 per cell]  4 Ta 3.00, 4 Hg 3.00
Ta 0.0000 0.0000 0.5000 [4 per cell]  4 Hg 3.00, 4 Ta 3.00
Ta 0.2500 0.2500 0.2500 [4 per cell]  4 Ta 3.00, 4 Ca 3.00
Hg 0.2500 0.2500 0.7500 [4 per cell]  4 Ta 3.00, 4 Ca 3.00

***

[9]
Tb3PmHg4 | GGA-PBE | relaxed

Properties
- offset from the most stable computed form (meV/atom) = 0

Cell: 5.2838 5.2838 7.5924 Å, 90.00 90.00 90.00°
With the nearest neighbours (Å) after each atom.
Space group P4/mmm (No. 123)
Symmetry-distinct sites (fractional):
Tb 0.0000 0.0000 0.0000 [1 per cell]  8 Hg 3.22
Tb 0.0000 0.0000 0.5000 [1 per cell]  8 Hg 3.28
Tb 0.5000 0.5000 0.0000 [1 per cell]  8 Hg 3.22
Pm 0.5000 0.5000 0.5000 [1 per cell]  8 Hg 3.28
Hg 0.0000 0.5000 0.2434 [4 per cell]  6 Tb 3.22-3.28, 2 Pm 3.28

***

[10]
Na2ZnHg | GGA-PBE | relaxed

Properties
- E (Ry per atom) = -0.0862

Cell: 10.9573 4.5480 9.1441 Å, 90.00 117.14 90.00°
With the nearest neighbours (Å) after each atom.
Space group Cm (No. 8)
Symmetry-distinct sites (fractional):
Na 0.0000 0.0000 0.0000 [2 per cell]  4 Zn 3.08-3.31, 2 Hg 3.19-3.42
Na 0.0255 0.0000 0.4326 [2 per cell]  4 Hg 3.17-3.18, 1 Zn 3.21, 3 Na 3.31-3.41
Na 0.1909 0.5000 0.3082 [2 per cell]  1 Zn 3.05, 4 Hg 3.13-3.37, 3 Na 3.31-3.41
Na 0.4216 0.0000 0.6594 [2 per cell]  3 Hg 3.18-3.26, 4 Zn 3.25-3.52
Zn 0.1960 0.0000 0.8256 [2 per cell]  2 Zn 2.67, 3 Hg 2.79-2.92
Zn 0.2147 0.5000 0.9882 [2 per cell]  2 Zn 2.67, 3 Hg 2.86-2.99
Hg 0.2208 0.5000 0.6650 [2 per cell]  3 Zn 2.79-2.99
Hg 0.3509 0.0000 0.1833 [2 per cell]  3 Zn 2.86-2.92, 2 Na 3.17

***

Number 1: size of the total moment 0.793 μB/atom. Number 2: size of the total moment 0.870 μB/atom. Number 3: size of the total moment 1.767 μB/atom. Number 4: size of the total moment 0.000 μB/atom. Number 5: size of the total moment 0.000 μB/atom. Number 6: size of the total moment 0.000 μB/atom. Number 7: size of the total moment 0.000 μB/atom. Number 8: size of the total moment 0.000 μB/atom. Number 9: size of the total moment 0.140 μB/atom. Number 10: size of the total moment 0.000 μB/atom.